Record 1
Below is a geometry-optimized SiTe2 structure, with properties calculated at the PBE level.

## Properties
As for the formation energy without anion corrections: 0.361 eV/atom.

a = 8.4211 Å, b = 8.4211 Å, c = 3.7973 Å
α = 90.00°, β = 90.00°, γ = 120.00°
Positions (direct):
Si 0.0000 0.0000 0.0000
Si 0.3333 0.6667 0.5000
Si 0.6667 0.3333 0.5000
Te 0.0000 0.4614 0.0000
Te 0.0000 0.7561 0.5000
Te 0.2439 0.2439 0.5000
Te 0.4614 0.0000 0.0000
Te 0.5386 0.5386 0.0000
Te 0.7561 0.0000 0.5000

***

Record 2
Below is a geometry-optimized CeSmP structure, with properties calculated at the PBE level.

## Properties
The energy relative to the elements comes out at -549 meV per atom.

a = 6.5983 Å, b = 6.5983 Å, c = 5.5209 Å
α = 90.00°, β = 90.00°, γ = 129.36°
Positions (direct):
Ce 0.0000 0.0000 0.0000
Ce 0.0000 0.0000 0.5000
Sm 0.2913 0.7087 0.7500
Sm 0.7087 0.2913 0.2500
P 0.2117 0.7883 0.2500
P 0.7883 0.2117 0.7500

***

Record 3
Below is a geometry-optimized Zn2InRu structure, with properties calculated at the PBE level.

## Properties
The energy relative to the elements comes out at 142 meV per atom.

a = 4.4876 Å, b = 4.4876 Å, c = 4.4876 Å
α = 60.00°, β = 60.00°, γ = 60.00°
Positions (direct):
Zn 0.0000 0.0000 0.0000
Zn 0.2500 0.2500 0.2500
In 0.5000 0.5000 0.5000
Ru 0.7500 0.7500 0.7500

***

Record 4
Below is a geometry-optimized BaSc2Te structure, with properties calculated at the PBE level.

## Properties
As for the formation energy without anion corrections: -0.164 eV/atom.

a = 6.3546 Å, b = 6.3546 Å, c = 6.3546 Å
α = 136.12°, β = 136.12°, γ = 63.80°
Positions (direct):
Ba 0.0000 0.0000 0.0000
Sc 0.2500 0.7500 0.5000
Sc 0.7500 0.2500 0.5000
Te 0.5000 0.5000 0.0000

***

Record 5
Below is a geometry-optimized SrMgSnBi2 structure, with properties calculated at the PBE level.

## Properties
The energy relative to the elements comes out at -265 meV per atom.

a = 8.7014 Å, b = 8.7014 Å, c = 6.3112 Å
α = 90.00°, β = 90.00°, γ = 137.06°
Positions (direct):
Sr 0.2500 0.7500 0.7916
Sr 0.7500 0.2500 0.2084
Mg 0.2500 0.2500 0.5000
Mg 0.7500 0.7500 0.5000
Sn 0.0000 0.0000 0.0000
Sn 0.5000 0.5000 0.0000
Bi 0.1509 0.8491 0.3007
Bi 0.3491 0.6509 0.3007
Bi 0.6509 0.3491 0.6993
Bi 0.8491 0.1509 0.6993

***

Record 6
Below is a geometry-optimized NaHf2Sc structure, with properties calculated at the PBE level.

## Properties
As for the energy above the most stable polymorph in this dataset: 134 meV per atom. The energy relative to the elements comes out at 827 meV per atom.

a = 11.6525 Å, b = 11.6525 Å, c = 11.6525 Å
α = 159.45°, β = 159.45°, γ = 29.23°
Positions (direct):
Na 0.0000 0.0000 0.0000
Na 0.7500 0.2500 0.5000
Hf 0.1276 0.6250 0.0026
Hf 0.3750 0.3776 0.5026
Hf 0.6224 0.1250 0.9974
Hf 0.8750 0.8724 0.4974
Sc 0.2500 0.7500 0.5000
Sc 0.5000 0.5000 0.0000

***

Record 7
Below is a geometry-optimized Na2AlBiS4 structure, with properties calculated at the PBE level.

## Properties
As for the formation energy without anion corrections: -0.902 eV/atom.

a = 9.0506 Å, b = 7.7939 Å, c = 6.0645 Å
α = 90.00°, β = 90.00°, γ = 90.00°
Positions (direct):
Na 0.2489 0.1660 0.0000
Na 0.2511 0.8340 0.5000
Na 0.7489 0.8340 0.5000
Na 0.7511 0.1660 0.0000
Al 0.0000 0.6616 0.0478
Al 0.5000 0.3384 0.5478
Bi 0.0000 0.3262 0.5167
Bi 0.5000 0.6738 0.0167
S 0.0000 0.3766 0.9468
S 0.0000 0.6452 0.4259
S 0.2083 0.8085 0.9680
S 0.2917 0.1915 0.4680
S 0.5000 0.3548 0.9259
S 0.5000 0.6234 0.4468
S 0.7083 0.1915 0.4680
S 0.7917 0.8085 0.9680

***

Record 8
Below is a geometry-optimized MgTi2Ir2 structure, with properties calculated at the PBE level.

## Properties
The energy relative to the elements comes out at -586 meV per atom.

a = 6.1338 Å, b = 6.1338 Å, c = 6.1338 Å
α = 140.38°, β = 140.38°, γ = 57.28°
Positions (direct):
Mg 0.0000 0.0000 0.0000
Ti 0.2500 0.7500 0.5000
Ti 0.7500 0.2500 0.5000
Ir 0.3828 0.3828 0.0000
Ir 0.6172 0.6172 0.0000

***

Record 9
Below is a geometry-optimized SrPrGaCu structure, with properties calculated at the PBE level.

## Properties
The energy relative to the elements comes out at -221 meV per atom.

a = 5.2987 Å, b = 5.2987 Å, c = 5.2987 Å
α = 60.00°, β = 60.00°, γ = 60.00°
Positions (direct):
Sr 0.0000 0.0000 0.0000
Pr 0.5000 0.5000 0.5000
Ga 0.2500 0.2500 0.2500
Cu 0.7500 0.7500 0.7500

***

Record 10
Below is a geometry-optimized Tb2AlGa3Rh4 structure, with properties calculated at the PBE level.

## Properties
The energy relative to the elements comes out at -833 meV per atom.

a = 4.2253 Å, b = 4.2253 Å, c = 10.1656 Å
α = 90.00°, β = 90.00°, γ = 90.00°
Positions (direct):
Tb 0.0000 0.5000 0.2360
Tb 0.5000 0.0000 0.7640
Al 0.0000 0.0000 0.5000
Ga 0.0000 0.5000 0.8719
Ga 0.5000 0.0000 0.1281
Ga 0.5000 0.5000 0.5000
Rh 0.0000 0.0000 0.0000
Rh 0.0000 0.5000 0.6307
Rh 0.5000 0.0000 0.3693
Rh 0.5000 0.5000 0.0000

***

Record 11
Below is a geometry-optimized TbHo2Ga2Pt7 structure, with properties calculated at the PBE level.

## Properties
The energy relative to the elements comes out at -983 meV per atom.

a = 4.0458 Å, b = 4.0458 Å, c = 14.1073 Å
α = 97.10°, β = 97.10°, γ = 89.42°
Positions (direct):
Tb 0.0000 0.0000 0.0000
Ho 0.1380 0.1380 0.3565
Ho 0.8620 0.8620 0.6435
Ga 0.3887 0.3887 0.7383
Ga 0.6113 0.6113 0.2617
Pt 0.0668 0.5668 0.1565
Pt 0.3448 0.3448 0.5635
Pt 0.4332 0.9332 0.8435
Pt 0.5000 0.5000 0.0000
Pt 0.5668 0.0668 0.1565
Pt 0.6552 0.6552 0.4365
Pt 0.9332 0.4332 0.8435

***

Record 12
Below is a geometry-optimized InGe2O structure, with properties calculated at the PBE level.

## Properties
As for the formation energy without anion corrections: 0.351 eV/atom. As for the energy above the most stable polymorph in this dataset: 505 meV per atom.

a = 4.6348 Å, b = 4.6348 Å, c = 4.6348 Å
α = 60.00°, β = 60.00°, γ = 60.00°
Positions (direct):
In 0.0000 0.0000 0.0000
Ge 0.2500 0.2500 0.2500
Ge 0.7500 0.7500 0.7500
O 0.5000 0.5000 0.5000

***

Number 1: electronic total energy -3.541 eV/atom. Number 2: electronic total energy -5.904 eV/atom. Number 3: electronic total energy -3.499 eV/atom. Number 4: electronic total energy -4.595 eV/atom. Number 5: electronic total energy -3.273 eV/atom. Number 6: electronic total energy -6.062 eV/atom. Number 7: electronic total energy -4.249 eV/atom. Number 8: electronic total energy -7.607 eV/atom. Number 9: electronic total energy -3.617 eV/atom. Number 10: electronic total energy -5.982 eV/atom. Number 11: electronic total energy -6.160 eV/atom. Number 12: electronic total energy -3.882 eV/atom.